A plane-wave DFT calculation with PBE was carried out for a relaxed LaBeTl2 crystal.

Output
The value obtained for the calculated formation energy is 0.09 eV per atom. As for the total magnetic moment: 0.00 μB/cell. The value obtained for the density of states at the Fermi level is 0.74 states/eV/atom. The energy above the most stable polymorph in this dataset is 103 meV/atom.

a = 3.830 Å, b = 4.845 Å, c = 6.074 Å
α = 66.06°, β = 90.00°, γ = 90.00°
Positions (direct):
Be1 0.000 0.274 0.576
Tl1 0.500 0.444 0.238
Tl2 0.000 0.044 0.039
La1 0.500 0.738 0.647


A plane-wave DFT calculation with PBE was carried out for a relaxed BaSrSn2Hg2 crystal.

Output
The value obtained for the calculated formation energy is -0.56 eV per atom. As for the total magnetic moment: 0.00 μB/cell. The value obtained for the density of states at the Fermi level is 0.17 states/eV/atom.

a = 4.998 Å, b = 4.998 Å, c = 9.026 Å
α = 90.00°, β = 90.00°, γ = 120.00°
Positions (direct):
Ba1 0.000 0.000 0.000
Sn1 0.333 0.667 0.252
Sn2 0.667 0.333 0.748
Sr1 0.000 0.000 0.500
Hg1 0.333 0.667 0.710
Hg2 0.667 0.333 0.290